4
Lattice="4.378 0.000 0.000 -2.189 3.791 0.000 0.000 0.000 4.882" Properties=species:S:1:pos:R:3 comment="GGA-PBE SmCo, optimized geometry" mass_density_g_cm3=8.6 space_group="No. 194" crystal_system=hexagonal formation_enthalpy_0k_ev_per_atom=-0.05 pbc="T T T"
Sm 0.000 2.528 1.220
Sm 2.189 1.264 3.661
Co 0.000 0.000 0.000
Co 0.000 0.000 2.441

***

4
Lattice="0.000 3.213 3.213 3.213 0.000 3.213 3.213 3.213 0.000" Properties=species:S:1:pos:R:3 comment="GGA-PBE TaNiPbW, optimized geometry" energy_ev_per_atom=-7.782 mass_density_g_cm3=15.8 space_group="No. 216" crystal_system=cubic pbc="T T T"
Ta 0.000 0.000 0.000
Ni 3.213 3.213 3.213
Pb 1.606 1.606 1.606
W 4.819 4.819 4.819

***

11
Lattice="-1.911 7.737 4.749 1.911 -7.737 4.749 1.911 7.737 -4.749" Properties=species:S:1:pos:R:3 comment="GGA-PBE DyY2Er4Ni2Te2, optimized geometry" energy_ev_per_atom=-5.519 mass_density_g_cm3=8.2 space_group="No. 44" crystal_system=orthorhombic pbc="T T T"
Dy 0.000 0.000 0.000
Y 0.000 5.469 2.546
Y 0.000 10.004 2.546
Er 1.911 5.694 -0.782
Er 1.911 2.857 1.132
Er 0.000 2.043 3.967
Er 0.000 4.880 5.881
Ni 1.911 -4.041 4.067
Ni 1.911 4.041 4.067
Te 1.911 0.000 2.509
Te 0.000 0.000 6.303

***

16
Lattice="5.778 0.000 0.000 0.000 5.778 0.000 0.000 0.000 5.778" Properties=species:S:1:pos:R:3 comment="GGA-PBE AlZnFe2, optimized geometry" energy_ev_per_atom=-5.463 mass_density_g_cm3=7.0 space_group="No. 221" crystal_system=cubic pbc="T T T"
Al 0.000 0.000 0.000
Al 0.000 0.000 2.889
Al 0.000 2.889 0.000
Al 2.889 0.000 0.000
Zn 0.000 2.889 2.889
Zn 2.889 0.000 2.889
Zn 2.889 2.889 0.000
Zn 2.889 2.889 2.889
Fe 1.435 1.435 1.435
Fe 1.435 1.435 4.344
Fe 1.435 4.344 1.435
Fe 1.435 4.344 4.344
Fe 4.344 1.435 1.435
Fe 4.344 1.435 4.344
Fe 4.344 4.344 1.435
Fe 4.344 4.344 4.344

***

5
Lattice="3.740 0.000 0.000 0.000 3.865 0.000 -0.028 0.000 5.347" Properties=species:S:1:pos:R:3 comment="GGA-PBE DyBiN2O, optimized geometry" energy_ev_per_atom=-6.552 mass_density_g_cm3=8.9 space_group="No. 6" crystal_system=monoclinic pbc="T T T"
Dy 0.000 0.000 0.000
Bi 1.872 1.932 2.380
N 0.002 1.932 1.353
N 1.871 1.932 4.466
O 1.871 0.000 1.328

***

4
Lattice="0.000 2.956 2.956 2.956 0.000 2.956 2.956 2.956 0.000" Properties=species:S:1:pos:R:3 comment="GGA-PBE BeInBPt, optimized geometry" mass_density_g_cm3=10.6 space_group="No. 216" de_polymorph_ev_per_fu=0.000 crystal_system=cubic pbc="T T T"
Be 0.000 0.000 0.000
In 4.435 4.435 4.435
B 2.956 2.956 2.956
Pt 1.478 1.478 1.478

***

5
Lattice="4.082 0.000 0.000 0.000 4.082 0.000 0.000 0.000 4.483" Properties=species:S:1:pos:R:3 comment="GGA-PBE PrCdO3, optimized geometry" energy_ev_per_atom=-5.770 mass_density_g_cm3=6.7 space_group="No. 99" crystal_system=tetragonal pbc="T T T"
Pr 0.000 0.000 0.000
Cd 2.041 2.041 2.657
O 0.000 2.041 3.133
O 2.041 0.000 3.133
O 2.041 2.041 0.518

***

18
Lattice="6.003 0.000 0.000 0.000 7.775 0.000 -2.745 0.000 10.808" Properties=species:S:1:pos:R:3 comment="GGA-PBE KTbAu3Se4, optimized geometry" mass_density_g_cm3=7.3 space_group="No. 11" de_polymorph_ev_per_fu=0.000 crystal_system=monoclinic pbc="T T T"
K 0.391 1.944 4.237
K 2.868 5.831 6.571
Tb -1.584 1.944 8.762
Tb 4.842 5.831 2.046
Au 1.686 4.393 0.464
Au 1.686 7.268 0.464
Au 1.830 5.831 3.251
Au 1.429 1.944 7.557
Au 1.573 0.506 10.344
Au 1.573 3.381 10.344
Se 0.157 1.944 0.694
Se -0.218 5.831 4.659
Se 0.119 4.084 8.354
Se 0.119 7.578 8.354
Se 3.140 0.197 2.454
Se 3.140 3.691 2.454
Se 3.476 1.944 6.149
Se 3.102 5.831 10.114